DFT (PBE-GGA) results for a relaxed structure of Os6C7.

Space group   R-3m
Crystal system   trigonal
Total moment   0.00 Bohr magnetons per cell

Cell lengths 10.101, 10.101, 10.101 Å; angles 23.19, 23.19, 23.19 degrees
Atoms (fractional coordinates):
Os: 0.087 0.087 0.087
Os: 0.196 0.196 0.196
Os: 0.309 0.309 0.309
Os: 0.691 0.691 0.691
Os: 0.804 0.804 0.804
Os: 0.913 0.913 0.913
C: 0.148 0.541 0.541
C: 0.459 0.459 0.852
C: 0.459 0.852 0.459
C: 0.500 0.500 0.500
C: 0.541 0.148 0.541
C: 0.541 0.541 0.148
C: 0.852 0.459 0.459


DFT (PBE-GGA) results for a relaxed structure of Os3C.

Energy above the most stable polymorph in this dataset   379 meV per atom
Space group   Immm
Crystal system   orthorhombic
Total moment   0.00 Bohr magnetons per cell

Cell lengths 4.814, 4.814, 4.814 Å; angles 146.91, 125.26, 65.48 degrees
Atoms (fractional coordinates):
Os: 0.000 0.000 0.000
Os: 0.298 0.798 0.500
Os: 0.702 0.202 0.500
C: 0.500 0.500 0.000


DFT (PBE-GGA) results for a relaxed structure of Os3C.

Energy above the most stable polymorph in this dataset   900 meV per atom
Space group   P6_3/mmc
Crystal system   hexagonal
Total moment   0.00 Bohr magnetons per cell

Cell lengths 6.967, 6.967, 5.248 Å; angles 90.00, 90.00, 120.00 degrees
Atoms (fractional coordinates):
Os: 0.000 0.500 0.000
Os: 0.000 0.500 0.500
Os: 0.135 0.270 0.250
Os: 0.135 0.865 0.250
Os: 0.270 0.135 0.750
Os: 0.500 0.000 0.000
Os: 0.500 0.000 0.500
Os: 0.500 0.500 0.000
Os: 0.500 0.500 0.500
Os: 0.730 0.865 0.250
Os: 0.865 0.135 0.750
Os: 0.865 0.730 0.750
C: 0.000 0.000 0.000
C: 0.000 0.000 0.500
C: 0.333 0.667 0.750
C: 0.667 0.333 0.250


Respective uncorrected energy values: -111.07; -40.04; -151.84 eV per cell.
Respective DFT formation energy values: 1.61; 0.72; 1.24 eV per atom.